Compound: Cs2TiGe
Source: Alexandria via LeMat-Bulk
Functional: PBE
Structure: optimized geometry

Lattice parameters (Å, degrees): 6.1185 6.1185 6.1185 60.00 60.00 60.00
Closest atoms and distances in Å follow each position.
Fractional coordinates of all 4 atoms:
Cs 0.2500 0.2500 0.2500  4 Ge 3.75, 4 Ti 3.75
Cs 0.7500 0.7500 0.7500  4 Ge 3.75, 4 Ti 3.75
Ge 0.5000 0.5000 0.5000  8 Cs 3.75
Ti 0.0000 0.0000 0.0000  8 Cs 3.75

## Properties
Fermi-level density of states in states/eV/atom: 2.3728
M_tot in Bohr magnetons per cell: 0.42
Formation enthalpy at 0 K in eV/atom: 1.25
Uncorrected energy in eV/atom: -2.30
SG: Fm-3m